(1)
A relaxed LiCd4Sb crystal, computed with PBE.

Structure (POSCAR):
```
LiCd4Sb
1.0
0.000 4.161 4.161
4.161 0.000 4.161
4.161 4.161 0.000
Cd Li Sb
4 1 1
Cartesian
5.199 5.199 3.123
3.123 5.199 5.199
5.199 3.123 5.199
3.123 3.123 3.123
6.242 6.242 6.242
0.000 0.000 0.000
```

## Properties
* volume: 24.02 Å³ per atom
* total energy: -9.60 eV per formula unit
* formation energy (no corrections): 0.02 eV/atom



(2)
A relaxed LiBSbRh2 crystal, computed with PBE.

Structure (POSCAR):
```
LiBSbRh2
1.0
-0.362 3.329 2.414
-1.319 -2.389 3.097
3.985 -0.511 1.303
B Rh Li Sb
1 2 1 1
Cartesian
0.000 0.000 0.000
-0.181 1.665 1.207
-0.660 -1.195 1.549
1.992 -0.256 0.652
1.151 0.214 3.407
```

## Properties
* volume: 14.40 Å³ per atom
* total energy: -28.68 eV per formula unit
* formation energy (no corrections): -0.25 eV/atom



(3)
A relaxed Y3MgTl4 crystal, computed with PBE.

Structure (POSCAR):
```
Y3MgTl4
1.0
-3.757 -3.596 -0.895
2.869 -2.021 -3.941
3.837 -1.960 7.331
Y Tl Mg
3 4 1
Cartesian
-0.228 -4.119 1.942
3.176 -3.457 0.553
1.434 -1.011 -1.971
2.122 -6.415 1.300
0.826 -1.162 1.194
0.381 -3.971 -1.224
2.567 -3.606 3.719
1.958 -3.758 6.884
```

## Properties
* volume: 26.60 Å³ per atom
* total energy: -32.85 eV per formula unit
* DFT formation energy: -0.30 eV/atom



(4)
A relaxed Cu2ReH crystal, computed with PBE.

Structure (POSCAR):
```
Cu2ReH
1.0
5.036 0.000 0.000
0.000 5.036 0.000
2.518 2.518 3.359
Cu H Re
4 2 2
Cartesian
3.777 4.683 2.519
6.295 5.390 2.519
2.165 3.777 0.840
2.872 1.259 0.840
2.518 5.036 1.680
2.518 2.518 0.000
5.036 2.518 1.680
0.000 0.000 0.000
```

## Properties
* volume: 10.65 Å³ per atom
* total energy: -21.63 eV per formula unit
* ΔE to the lowest computed polymorph: 0 meV/atom



(5)
A relaxed MnInAs2S crystal, computed with PBE.

Structure (POSCAR):
```
MnInAs2S
1.0
-4.345 1.611 -2.260
-2.804 -2.776 3.411
-0.149 4.056 3.179
As S Mn In
2 1 1 1
Cartesian
-2.172 0.806 -1.130
-0.075 2.028 1.589
-3.649 1.446 2.165
-1.402 -1.388 1.706
0.000 0.000 0.000
```

## Properties
* volume: 27.73 Å³ per atom
* total energy: -19.27 eV per formula unit
* formation energy (no corrections): 1.21 eV/atom



(6)
A relaxed CsSnB2F8 crystal, computed with PBE.

Structure (POSCAR):
```
CsSnB2F8
1.0
4.926 0.000 0.000
2.463 4.266 0.000
2.463 1.422 10.269
F Cs B Sn
8 1 2 1
Cartesian
7.389 4.266 6.214
1.868 2.626 2.178
8.134 5.383 8.092
3.803 1.335 2.178
1.718 0.305 2.178
7.984 3.062 8.092
6.048 4.353 8.092
2.463 1.422 4.056
4.926 2.844 5.135
2.463 1.422 2.616
7.389 4.266 7.654
0.000 0.000 0.000
```

## Properties
* volume: 17.98 Å³ per atom
* total energy: -64.69 eV per formula unit
* formation energy (no corrections): -2.63 eV/atom



(7)
A relaxed ErInAu2 crystal, computed with PBE.

Structure (POSCAR):
```
ErInAu2
1.0
-1.033 -1.870 -2.822
2.025 -2.705 1.052
-5.364 -2.586 3.678
In Au Er
1 2 1
Cartesian
-2.186 -3.581 0.954
-1.299 -0.626 0.891
-4.065 -1.959 2.787
0.496 -2.288 -0.885
```

## Properties
* volume: 21.92 Å³ per atom
* total energy: -16.25 eV per formula unit
* DFT formation energy: -0.60 eV/atom



(8)
A relaxed La2MoPt crystal, computed with PBE.

Structure (POSCAR):
```
La2MoPt
1.0
-3.411 2.966 -1.010
-2.636 -1.910 3.294
0.457 6.697 7.505
Mo La Pt
2 4 2
Cartesian
-3.024 0.528 1.142
-2.601 2.657 5.970
-2.330 3.274 1.662
-1.939 5.408 6.502
-4.935 5.956 7.610
-1.977 0.866 3.804
0.000 0.000 0.000
-2.989 5.095 3.819
```

## Properties
* volume: 25.53 Å³ per atom
* total energy: -24.80 eV per formula unit
* ΔE to the lowest computed polymorph: 699 meV/atom
* DFT formation energy: 0.48 eV/atom